1.
This record from the Alexandria database describes a geometry-optimized Tl3GaC structure. The functional is PBE.

Geometry as extended XYZ:
```
5
Lattice="5.497 0.000 0.000 0.000 5.497 0.000 0.000 0.000 5.497" Properties=species:S:1:pos:R:3 pbc="T T T"
Tl 0.000 0.000 2.748
Tl 0.000 2.748 0.000
Tl 2.748 0.000 0.000
Ga 0.000 0.000 0.000
C 2.748 2.748 2.748
```

Output
The calculation puts the energy above the most stable polymorph in this dataset at 493 meV/atom.

2.
This record from the Alexandria database describes a geometry-optimized Tl2Ga2C structure. The functional is PBE.

Geometry as extended XYZ:
```
5
Lattice="-2.312 2.312 6.056 2.312 -2.312 6.056 2.312 2.312 -6.056" Properties=species:S:1:pos:R:3 pbc="T T T"
Tl 2.312 0.000 3.028
Tl 0.000 2.312 3.028
Ga 0.000 0.000 1.207
Ga 0.000 0.000 10.905
C 0.000 0.000 6.056
```

3.
This record from the Alexandria database describes a geometry-optimized TlGa3C structure. The functional is PBE.

Geometry as extended XYZ:
```
5
Lattice="4.496 0.000 0.000 0.000 4.496 0.000 0.000 0.000 4.496" Properties=species:S:1:pos:R:3 pbc="T T T"
Tl 0.000 0.000 0.000
Ga 0.000 2.248 2.248
Ga 2.248 0.000 2.248
Ga 2.248 2.248 0.000
C 2.248 2.248 2.248
```

Output
The calculation puts the energy above the most stable polymorph in this dataset at 0 meV/atom.

4.
This record from the Alexandria database describes a geometry-optimized Tl3GaC structure. The functional is PBE.

Geometry as extended XYZ:
```
5
Lattice="5.046 0.000 0.000 0.000 5.046 0.000 0.000 0.000 5.046" Properties=species:S:1:pos:R:3 pbc="T T T"
Tl 0.000 0.000 2.523
Tl 0.000 2.523 0.000
Tl 2.523 0.000 0.000
Ga 2.523 2.523 2.523
C 0.000 0.000 0.000
```

Output
The calculation puts the energy above the most stable polymorph in this dataset at 0 meV/atom.

5.
This record from the Alexandria database describes a geometry-optimized Tm4TlGaC structure. The functional is PBE.

Geometry as extended XYZ:
```
14
Lattice="3.409 -7.287 0.000 3.409 7.287 0.000 0.000 0.000 6.819" Properties=species:S:1:pos:R:3 pbc="T T T"
Tm 1.705 3.644 0.000
Tm 1.705 3.644 3.410
Tm 3.409 6.114 5.114
Tm 3.409 1.280 5.114
Tm 1.705 -3.644 0.000
Tm 1.705 -3.644 3.410
Tm 3.409 -1.280 1.705
Tm 3.409 -6.114 1.705
Tl 3.409 1.699 1.705
Tl 3.409 -1.699 5.114
Ga 3.409 5.471 1.705
Ga 3.409 -5.471 5.114
C 3.409 3.677 5.114
C 3.409 -3.677 1.705
```

6.
This record from the Alexandria database describes a geometry-optimized Tm3GaC structure. The functional is PBE.

Geometry as extended XYZ:
```
5
Lattice="4.773 0.000 0.000 0.000 4.773 0.000 0.000 0.000 4.773" Properties=species:S:1:pos:R:3 pbc="T T T"
Tm 0.000 0.000 2.386
Tm 0.000 2.386 0.000
Tm 2.386 0.000 0.000
Ga 2.386 2.386 2.386
C 0.000 0.000 0.000
```

Output
The calculation puts the energy above the most stable polymorph in this dataset at 0 meV/atom.

7.
This record from the Alexandria database describes a geometry-optimized Tm2GaC structure. The functional is PBE.

Geometry as extended XYZ:
```
4
Lattice="1.761 1.017 7.583 -1.761 1.017 7.583 0.000 -2.034 7.583" Properties=species:S:1:pos:R:3 pbc="T T T"
Tm 0.000 0.000 5.126
Tm 0.000 0.000 17.623
Ga 0.000 0.000 0.000
C 0.000 0.000 11.374
```

8.
This record from the Alexandria database describes a geometry-optimized Tm4GaC structure. The functional is PBE.

Geometry as extended XYZ:
```
12
Lattice="2.439 -8.741 0.000 2.439 8.741 0.000 0.000 0.000 6.616" Properties=species:S:1:pos:R:3 pbc="T T T"
Tm 2.439 8.312 3.308
Tm 2.439 5.785 5.911
Tm 2.439 5.192 2.620
Tm 2.439 1.647 4.504
Tm 2.439 -1.647 1.196
Tm 2.439 -5.192 5.928
Tm 2.439 -5.785 2.603
Tm 2.439 -8.312 0.000
Ga 2.439 2.056 1.055
Ga 2.439 -2.056 4.363
C 2.439 7.116 1.221
C 2.439 -7.116 4.529
```

Number 1: raw total energy -11.91 eV per cell, ΔE_f 718 kJ/mol of formula units. Number 2: raw total energy -12.70 eV per cell, ΔE_f 705 kJ/mol of formula units. Number 3: raw total energy -17.16 eV per cell, ΔE_f 339 kJ/mol of formula units. Number 4: raw total energy -14.38 eV per cell, ΔE_f 480 kJ/mol of formula units. Number 5: raw total energy -70.50 eV per cell, ΔE_f -265 kJ/mol of formula units. Number 6: raw total energy -28.24 eV per cell, ΔE_f -248 kJ/mol of formula units. Number 7: raw total energy -22.90 eV per cell, ΔE_f -164 kJ/mol of formula units. Number 8: raw total energy -64.01 eV per cell, ΔE_f -180 kJ/mol of formula units.